#A
The following is a DFT calculation (PBE-GGA) of a relaxed GdOsNO crystal.

Cell: 3.8227 3.8227 7.6474 Å, 90.00 90.00 90.00°
Closest atoms and distances in Å follow each position.
Fractional positions:
Os1 0.7500 0.2500 0.5000  4 N 2.13
Os2 0.2500 0.7500 0.5000  4 N 2.13
O1 0.7500 0.2500 0.0000  4 Gd 2.24
O2 0.2500 0.7500 0.0000  4 Gd 2.24
N1 0.2500 0.2500 0.6233  4 Os 2.13
N2 0.7500 0.7500 0.3767  4 Os 2.13
Gd1 0.7500 0.7500 0.8483  4 O 2.24
Gd2 0.2500 0.2500 0.1518  4 O 2.24


#B
The following is a DFT calculation (PBE-GGA) of a relaxed GdOsNO crystal.

Cell: 3.5961 5.2824 6.2955 Å, 90.00 90.00 90.00°
Closest atoms and distances in Å follow each position.
Fractional positions:
O1 0.5000 0.9515 0.8434  2 Gd 2.22-2.25, 2 Os 2.38
O2 0.5000 0.4515 0.1566  2 Gd 2.22-2.25, 2 Os 2.38
Gd1 0.5000 0.0343 0.1938  2 O 2.22-2.25, 2 N 2.30
Gd2 0.5000 0.5343 0.8062  2 O 2.22-2.25, 2 N 2.30
N1 0.0000 0.8136 0.3247  2 Os 1.87-1.96
N2 0.0000 0.3136 0.6753  2 Os 1.87-1.96
Os1 0.0000 0.4546 0.4030  2 N 1.87-1.96
Os2 0.0000 0.9546 0.5970  2 N 1.87-1.96


Quick one: least stable of them? #B


#A
The following is a DFT calculation (PBE-GGA) of a relaxed Cu2Ag crystal.

Cell: 5.9265 5.9265 5.9265 Å, 153.43 153.43 37.93°
Closest atoms and distances in Å follow each position.
Fractional positions:
Ag1 0.5000 0.5000 0.0000  4 Ag 2.72, 8 Cu 2.76
Cu1 0.8234 0.8234 0.0000  8 Cu 2.53-2.72, 4 Ag 2.76
Cu2 0.1766 0.1766 0.0000  8 Cu 2.53-2.72, 4 Ag 2.76


#B
The following is a DFT calculation (PBE-GGA) of a relaxed Cu2Ag crystal.

Cell: 5.8547 5.8547 8.2923 Å, 103.51 103.51 26.88°
Closest atoms and distances in Å follow each position.
Fractional positions:
Cu1 0.3261 0.3261 0.6091  9 Cu 2.57-2.74, 3 Ag 2.73-2.74
Cu2 0.6739 0.6739 0.3909  9 Cu 2.57-2.74, 3 Ag 2.73-2.74
Cu3 0.6710 0.6710 0.7206  7 Cu 2.57-2.74, 5 Ag 2.70-2.83
Cu4 0.3290 0.3290 0.2794  7 Cu 2.57-2.74, 5 Ag 2.70-2.83
Cu5 0.0024 0.0024 0.8134  5 Ag 2.59-2.69, 6 Cu 2.62-2.72
Cu6 0.9976 0.9976 0.1866  5 Ag 2.59-2.69, 6 Cu 2.62-2.72
Ag1 0.0000 0.0000 0.5000  10 Cu 2.59-2.73, 2 Ag 2.72
Ag2 0.3448 0.3448 0.9444  8 Cu 2.68-2.83, 4 Ag 2.72-2.88
Ag3 0.6552 0.6552 0.0556  8 Cu 2.68-2.83, 4 Ag 2.72-2.88


Quick one: least stable of them? #B


#A
The following is a DFT calculation (PBE-GGA) of a relaxed Cu2Ag crystal.

Cell: 4.6954 4.6954 8.1659 Å, 107.24 107.24 47.67°
Closest atoms and distances in Å follow each position.
Fractional positions:
Ag1 0.3262 0.3262 0.0953  8 Cu 2.62-2.86, 4 Ag 2.71-2.93
Ag2 0.3440 0.3440 0.4598  9 Cu 2.62-2.74, 3 Ag 2.81-2.93
Ag3 0.6600 0.6600 0.2219  7 Cu 2.69-2.84, 5 Ag 2.71-2.81
Cu1 0.9897 0.9897 0.9779  6 Cu 2.52-2.72, 5 Ag 2.71-2.80
Cu2 0.3330 0.3330 0.7765  10 Cu 2.59-2.72, 2 Ag 2.62
Cu3 0.6737 0.6737 0.5717  8 Cu 2.52-2.74, 3 Ag 2.68-2.73
Cu4 0.0069 0.0069 0.3472  4 Cu 2.68-2.97, 8 Ag 2.69-2.86
Cu5 0.0110 0.0110 0.6768  10 Cu 2.52-2.74, 2 Ag 2.67
Cu6 0.6555 0.6555 0.8729  9 Cu 2.52-2.72, 2 Ag 2.71


#B
The following is a DFT calculation (PBE-GGA) of a relaxed Cu2Ag crystal.

Cell: 4.7234 4.7234 8.1787 Å, 107.80 107.80 46.71°
Closest atoms and distances in Å follow each position.
Fractional positions:
Ag1 0.3313 0.3313 0.0998  9 Cu 2.67-2.88, 3 Ag 2.73-2.75
Ag2 0.6656 0.6656 0.2244  8 Cu 2.72-2.79, 4 Ag 2.73-2.77
Ag3 0.6704 0.6704 0.5652  11 Cu 2.63-2.73, 1 Ag 2.77
Cu1 0.0020 0.0020 0.6731  9 Cu 2.54-2.78, 3 Ag 2.70-2.71
Cu2 0.9985 0.9985 0.3437  5 Cu 2.64-2.96, 7 Ag 2.69-2.77
Cu3 0.9913 0.9913 0.9797  6 Cu 2.54-2.75, 5 Ag 2.70-2.79
Cu4 0.6560 0.6560 0.8814  8 Cu 2.57-2.78, 4 Ag 2.63-2.78
Cu5 0.3421 0.3421 0.7773  9 Cu 2.55-2.78, 3 Ag 2.65-2.67
Cu6 0.3427 0.3427 0.4555  6 Cu 2.63-2.82, 6 Ag 2.68-2.88


Quick one: least stable of them? #B


#A
The following is a DFT calculation (PBE-GGA) of a relaxed YTlZnTe3 crystal.

Cell: 8.8336 4.3612 11.1693 Å, 90.00 108.86 90.00°
Closest atoms and distances in Å follow each position.
Fractional positions:
Zn1 0.9216 0.7500 0.8899  4 Te 2.66-2.76
Zn2 0.0784 0.2500 0.1101  4 Te 2.66-2.76
Y1 0.6889 0.2500 0.6418  6 Te 3.04-3.22
Y2 0.3111 0.7500 0.3582  6 Te 3.04-3.22
Te1 0.0578 0.2500 0.3424  1 Zn 2.66
Te2 0.9422 0.7500 0.6576  1 Zn 2.66
Te3 0.4434 0.7500 0.6460  3 Y 3.04-3.09
Te4 0.5566 0.2500 0.3540  3 Y 3.04-3.09
Te5 0.7689 0.2500 0.9438  3 Zn 2.73-2.76
Te6 0.2311 0.7500 0.0562  3 Zn 2.73-2.76
Tl1 0.2641 0.2500 0.7941  6 Te 3.42-3.74
Tl2 0.7359 0.7500 0.2059  6 Te 3.42-3.74


#B
The following is a DFT calculation (PBE-GGA) of a relaxed YTlZnTe3 crystal.

Cell: 9.9864 9.9864 9.3507 Å, 102.49 102.49 25.58°
Closest atoms and distances in Å follow each position.
Fractional positions:
Y1 0.8274 0.8274 0.9202  6 Te 3.04-3.28
Y2 0.1726 0.1726 0.0798  6 Te 3.04-3.28
Te1 0.6671 0.6671 0.8534  3 Y 3.04-3.05, 2 Tl 3.40
Te2 0.6713 0.6713 0.3080  1 Zn 2.67
Te3 0.3287 0.3287 0.6920  1 Zn 2.67
Te4 0.5000 0.5000 0.5000  2 Zn 2.80
Te5 0.3328 0.3328 0.1466  3 Y 3.04-3.05, 2 Tl 3.40
Te6 0.0000 0.0000 0.0000  4 Zn 3.00, 2 Y 3.28
Zn1 0.5312 0.5312 0.2222  2 Te 2.67-2.80
Zn2 0.4688 0.4688 0.7778  2 Te 2.67-2.80
Tl1 0.1345 0.1345 0.5706  7 Te 3.38-3.70
Tl2 0.8655 0.8655 0.4294  7 Te 3.38-3.70


Quick one: least stable of them? #B


#A
The following is a DFT calculation (PBE-GGA) of a relaxed PmTaAsO crystal.

Cell: 4.1580 4.9370 6.9522 Å, 90.00 90.00 90.00°
Closest atoms and distances in Å follow each position.
Fractional positions:
Pm1 0.5000 0.1736 0.0912  3 O 2.55-2.83
Pm2 0.5000 0.8264 0.5912  3 O 2.55-2.83
As1 0.0000 0.8475 0.2882  3 Ta 2.63-2.72
As2 0.0000 0.1525 0.7882  3 Ta 2.63-2.72
O1 0.5000 0.6427 0.9361  2 Ta 2.08
O2 0.5000 0.3573 0.4361  2 Ta 2.08
Ta1 0.0000 0.6442 0.9386  2 O 2.08
Ta2 0.0000 0.3558 0.4386  2 O 2.08


#B
The following is a DFT calculation (PBE-GGA) of a relaxed PmTaAsO crystal.

Cell: 4.6856 6.1410 5.9274 Å, 90.00 90.00 90.00°
Closest atoms and distances in Å follow each position.
Fractional positions:
Pm1 0.0000 0.7400 0.4434  2 O 2.45
Pm2 0.0000 0.2600 0.9434  2 O 2.45
Ta1 0.5000 0.1010 0.5231  2 O 2.00-2.04
Ta2 0.5000 0.8990 0.0231  2 O 2.00-2.04
O1 0.5000 0.1862 0.8491  2 Ta 2.00-2.04
O2 0.5000 0.8138 0.3491  2 Ta 2.00-2.04
As1 0.0000 0.2548 0.4383  2 Ta 2.58
As2 0.0000 0.7452 0.9383  2 Ta 2.58


Quick one: least stable of them? #B


#A
The following is a DFT calculation (PBE-GGA) of a relaxed CuTePbF crystal.

Cell: 6.7558 6.7963 7.5602 Å, 90.00 90.00 90.00°
Closest atoms and distances in Å follow each position.
Fractional positions:
Te1 0.6242 0.8582 0.1231  3 Cu 2.47-2.54
Te2 0.8758 0.1418 0.6231  3 Cu 2.47-2.54
Te3 0.1242 0.6418 0.8769  3 Cu 2.47-2.54
Te4 0.3758 0.3582 0.3769  3 Cu 2.47-2.54
Pb1 0.8549 0.4030 0.1490  3 F 2.49-2.58
Pb2 0.1451 0.9030 0.3510  3 F 2.49-2.58
Pb3 0.6451 0.5970 0.6490  3 F 2.49-2.58
Pb4 0.3549 0.0970 0.8510  3 F 2.49-2.58
F1 0.9140 0.6194 0.4249  3 Pb 2.49-2.58, 1 Cu 2.65
F2 0.0860 0.1194 0.0751  3 Pb 2.49-2.58, 1 Cu 2.65
F3 0.5860 0.3806 0.9249  3 Pb 2.49-2.58, 1 Cu 2.65
F4 0.4140 0.8806 0.5751  3 Pb 2.49-2.58, 1 Cu 2.65
Cu1 0.6448 0.0975 0.3686  3 Te 2.47-2.54, 1 F 2.65
Cu2 0.3552 0.5975 0.1314  3 Te 2.47-2.54, 1 F 2.65
Cu3 0.8552 0.9025 0.8686  3 Te 2.47-2.54, 1 F 2.65
Cu4 0.1448 0.4025 0.6314  3 Te 2.47-2.54, 1 F 2.65


#B
The following is a DFT calculation (PBE-GGA) of a relaxed CuTePbF crystal.

Cell: 4.5664 4.5664 9.6588 Å, 90.00 90.00 90.02°
Closest atoms and distances in Å follow each position.
Fractional positions:
F1 0.7500 0.7500 0.0000  4 Cu 2.28
F2 0.2500 0.2500 0.0000  4 Cu 2.28
Te1 0.2500 0.7500 0.2659  1 Cu 2.53
Te2 0.7500 0.2500 0.7341  1 Cu 2.53
Pb1 0.7500 0.7500 0.5000  4 Te 3.21, 4 Pb 3.23
Pb2 0.2500 0.2500 0.5000  4 Te 3.21, 4 Pb 3.23
Cu1 0.2500 0.7500 0.0036  4 F 2.28, 1 Te 2.53
Cu2 0.7500 0.2500 0.9964  4 F 2.28, 1 Te 2.53


Quick one: least stable of them? #B


#A
The following is a DFT calculation (PBE-GGA) of a relaxed ZnPdSeO crystal.

Cell: 5.4168 7.6211 6.7043 Å, 90.00 90.00 90.00°
Closest atoms and distances in Å follow each position.
Fractional positions:
Pd1 0.7541 0.2017 0.4186  1 O 2.07
Pd2 0.2459 0.7017 0.0814  1 O 2.07
Pd3 0.7459 0.7983 0.9186  1 O 2.07
Pd4 0.2541 0.2983 0.5814  1 O 2.07
Se1 0.5271 0.0584 0.7001  1 Zn 2.45, 3 Pd 2.48-2.73
Se2 0.0271 0.4416 0.2999  1 Zn 2.45, 3 Pd 2.48-2.73
Se3 0.9729 0.9416 0.2001  1 Zn 2.45, 3 Pd 2.48-2.73
Se4 0.4729 0.5584 0.7999  1 Zn 2.45, 3 Pd 2.48-2.73
Zn1 0.7451 0.3247 0.9203  2 O 1.88-1.93
Zn2 0.2451 0.1753 0.0797  2 O 1.88-1.93
Zn3 0.7549 0.6753 0.4203  2 O 1.88-1.93
Zn4 0.2549 0.8247 0.5797  2 O 1.88-1.93
O1 0.5756 0.2235 0.1459  2 Zn 1.88-1.93, 1 Pd 2.07
O2 0.9244 0.7765 0.6459  2 Zn 1.88-1.93, 1 Pd 2.07
O3 0.0756 0.2765 0.8541  2 Zn 1.88-1.93, 1 Pd 2.07
O4 0.4244 0.7235 0.3541  2 Zn 1.88-1.93, 1 Pd 2.07


#B
The following is a DFT calculation (PBE-GGA) of a relaxed ZnPdSeO crystal.

Cell: 3.6769 3.6769 9.4893 Å, 90.00 90.00 90.00°
Closest atoms and distances in Å follow each position.
Fractional positions:
Se1 0.7500 0.2500 0.5000  4 Se 2.60, 4 Pd 2.69
Se2 0.2500 0.7500 0.5000  4 Se 2.60, 4 Pd 2.69
Pd1 0.7500 0.7500 0.2936  1 O 2.03
Pd2 0.2500 0.2500 0.7064  1 O 2.03
Zn1 0.2500 0.2500 0.1200  1 O 1.89
Zn2 0.7500 0.7500 0.8800  1 O 1.89
O1 0.2500 0.2500 0.9208  1 Zn 1.89, 1 Pd 2.03
O2 0.7500 0.7500 0.0792  1 Zn 1.89, 1 Pd 2.03


Quick one: least stable of them? #B


#A
The following is a DFT calculation (PBE-GGA) of a relaxed BaGaGeAu2 crystal.

Cell: 4.6772 4.6772 10.7298 Å, 90.00 90.00 90.00°
Closest atoms and distances in Å follow each position.
Fractional positions:
Ba1 0.0000 0.5000 0.2477  8 Au 3.54-3.58, 4 Ge 3.55, 4 Ga 3.58
Ba2 0.5000 0.0000 0.7523  8 Au 3.54-3.58, 4 Ge 3.55, 4 Ga 3.58
Ga1 0.5000 0.5000 0.5000  4 Au 2.69
Ga2 0.0000 0.0000 0.5000  4 Au 2.69
Au1 0.5000 0.5000 0.0000  4 Ge 2.70
Au2 0.5000 0.0000 0.3755  1 Ge 2.67, 4 Ga 2.69
Au3 0.0000 0.5000 0.6245  1 Ge 2.67, 4 Ga 2.69
Au4 0.0000 0.0000 0.0000  4 Ge 2.70
Ge1 0.0000 0.5000 0.8734  5 Au 2.67-2.70
Ge2 0.5000 0.0000 0.1266  5 Au 2.67-2.70


#B
The following is a DFT calculation (PBE-GGA) of a relaxed BaGaGeAu2 crystal.

Cell: 4.7559 4.7559 10.4036 Å, 90.00 90.00 90.00°
Closest atoms and distances in Å follow each position.
Fractional positions:
Ge1 0.0000 0.0000 0.5000  4 Au 2.71
Ge2 0.5000 0.5000 0.5000  4 Au 2.71
Au1 0.5000 0.5000 0.0000  4 Ga 2.68
Au2 0.0000 0.5000 0.6255  1 Ga 2.66, 4 Ge 2.71
Au3 0.5000 0.0000 0.3745  1 Ga 2.66, 4 Ge 2.71
Au4 0.0000 0.0000 0.0000  4 Ga 2.68
Ga1 0.5000 0.0000 0.1186  5 Au 2.66-2.68
Ga2 0.0000 0.5000 0.8814  5 Au 2.66-2.68
Ba1 0.0000 0.5000 0.2548  4 Ge 3.49, 9 Au 3.56-3.86, 5 Ga 3.65-3.88
Ba2 0.5000 0.0000 0.7452  4 Ge 3.49, 9 Au 3.56-3.86, 5 Ga 3.65-3.88


Quick one: least stable of them? #B


#A
The following is a DFT calculation (PBE-GGA) of a relaxed AcTeMo crystal.

Cell: 4.8920 4.8920 4.8920 Å, 60.00 60.00 60.00°
Closest atoms and distances in Å follow each position.
Fractional positions:
Mo1 0.0000 0.0000 0.0000  4 Te 3.00, 4 Ac 3.00
Ac1 0.2500 0.2500 0.2500  4 Mo 3.00
Te1 0.7500 0.7500 0.7500  4 Mo 3.00


#B
The following is a DFT calculation (PBE-GGA) of a relaxed AcTeMo crystal.

Cell: 5.4782 5.4782 5.4782 Å, 60.00 60.00 60.00°
Closest atoms and distances in Å follow each position.
Fractional positions:
Te1 0.7500 0.7500 0.7500  4 Ac 3.35
Mo1 0.2500 0.2500 0.2500  4 Ac 3.35
Ac1 0.0000 0.0000 0.0000  4 Te 3.35, 4 Mo 3.35


Quick one: least stable of them? #B